1.
A plane-wave DFT calculation with PBE-GGA was carried out for crystalline La15Mg4Cd at its relaxed geometry.

a = 5.123 Å, b = 5.123 Å, c = 25.449 Å
α = 90.00°, β = 90.00°, γ = 90.00°
Space group P4/mmm (No. 123)
Symmetry-distinct sites (fractional):
1 La 0.000 0.000 0.000 x1
2 La 0.000 0.000 0.199 x2
3 La 0.000 0.000 0.400 x2
4 La 0.000 0.500 0.099 x4
5 La 0.000 0.500 0.299 x4
6 La 0.000 0.500 0.500 x2
7 Mg 0.500 0.500 0.199 x2
8 Mg 0.500 0.500 0.400 x2
9 Cd 0.500 0.500 0.000 x1

***

2.
A plane-wave DFT calculation with PBE-GGA was carried out for crystalline Ta4AlFe at its relaxed geometry.

a = 7.605 Å, b = 7.605 Å, c = 7.605 Å
α = 90.00°, β = 90.00°, γ = 90.00°
Space group F-43m (No. 216)
Symmetry-distinct sites (fractional):
1 Ta 0.124 0.124 0.124 x16
2 Al 0.250 0.250 0.750 x4
3 Fe 0.000 0.000 0.500 x4

***

3.
A plane-wave DFT calculation with PBE-GGA was carried out for crystalline CsGaHg2Rh at its relaxed geometry.

a = 5.476 Å, b = 5.476 Å, c = 4.852 Å
α = 90.00°, β = 90.00°, γ = 90.00°
Space group P4/mmm (No. 123)
Symmetry-distinct sites (fractional):
1 Cs 0.000 0.000 0.000 x1
2 Ga 0.500 0.500 0.000 x1
3 Hg 0.000 0.500 0.500 x2
4 Rh 0.500 0.500 0.500 x1

***

4.
A plane-wave DFT calculation with PBE-GGA was carried out for crystalline ZnCr3Ga at its relaxed geometry.

a = 4.706 Å, b = 4.706 Å, c = 4.706 Å
α = 90.00°, β = 90.00°, γ = 90.00°
Space group Pm-3m (No. 221)
Symmetry-distinct sites (fractional):
1 Zn 0.000 0.000 0.000 x1
2 Cr 0.000 0.500 0.500 x3
3 Ga 0.500 0.500 0.500 x1

***

5.
A plane-wave DFT calculation with PBE-GGA was carried out for crystalline GdZrRhAu at its relaxed geometry.

a = 6.917 Å, b = 6.917 Å, c = 6.917 Å
α = 90.00°, β = 90.00°, γ = 90.00°
Space group F-43m (No. 216)
Symmetry-distinct sites (fractional):
1 Gd 0.000 0.000 0.000 x4
2 Zr 0.000 0.000 0.500 x4
3 Rh 0.250 0.250 0.250 x4
4 Au 0.250 0.250 0.750 x4

***

6.
A plane-wave DFT calculation with PBE-GGA was carried out for crystalline CeSm2Tl2Ag2 at its relaxed geometry.

a = 4.9653 Å, b = 4.9653 Å, c = 26.2722 Å
α = 90.00°, β = 90.00°, γ = 120.00°
Space group R-3m (No. 166, hexagonal axes)
Symmetry-distinct sites (fractional):
1 Ce 0.0000 0.0000 0.0000 x3
2 Sm 0.0000 0.0000 0.1323 x6
3 Tl 0.0000 0.0000 0.2663 x6
4 Ag 0.0000 0.0000 0.4281 x6

***

Across the entries above, total energy takes the values -4.102, -9.409, -2.619, -5.461, -8.925, -3.832 eV/atom, respectively.